Entry from Alexandria: YScN2F after structural relaxation (PBE).

Cell: 4.4154 4.4154 4.1389 Å, 90.00 90.00 90.00°
Last column: nearest neighbours and their distance in Å.
Positions (direct):
Y  0.0000  0.0000  0.0000  2 F 2.07, 4 N 2.21
Sc  0.5000  0.5000  0.5000  8 N 3.03, 4 F 3.12
N  0.0000  0.5000  0.0000  2 Y 2.21
N  0.5000  0.0000  0.0000  2 Y 2.21
F  0.0000  0.0000  0.5000  2 Y 2.07

Computed properties:
As for the space group: P4/mmm, No. 123. As for the relative energy among the computed polymorphs: 0.706 eV/atom.

Entry from Alexandria: YScN2F after structural relaxation (PBE).

Cell: 4.1681 4.1681 3.9380 Å, 90.00 90.00 90.00°
Last column: nearest neighbours and their distance in Å.
Positions (direct):
Y  0.5000  0.5000  0.5000  8 N 2.87, 4 F 2.95
Sc  0.0000  0.0000  0.0000  2 F 1.97, 4 N 2.08
N  0.0000  0.5000  0.0000  2 Sc 2.08
N  0.5000  0.0000  0.0000  2 Sc 2.08
F  0.0000  0.0000  0.5000  2 Sc 1.97

Computed properties:
As for the space group: P4/mmm, No. 123. As for the relative energy among the computed polymorphs: 0.000 eV/atom.

Entry from Alexandria: ScZnNF2 after structural relaxation (PBE).

Cell: 3.7789 3.7789 4.3556 Å, 90.00 90.00 90.00°
Last column: nearest neighbours and their distance in Å.
Positions (direct):
Sc  0.5000  0.5000  0.5000  4 N 2.67, 8 F 2.88
Zn  0.0000  0.0000  0.0000  4 F 1.89
N  0.0000  0.0000  0.5000  2 Zn 2.18
F  0.0000  0.5000  0.0000  2 Zn 1.89
F  0.5000  0.0000  0.0000  2 Zn 1.89

Computed properties:
As for the space group: P4/mmm, No. 123. As for the relative energy among the computed polymorphs: 0.352 eV/atom.

Entry from Alexandria: ScZnNF2 after structural relaxation (PBE).

Cell: 3.9736 3.9736 4.4527 Å, 90.00 90.00 90.00°
Last column: nearest neighbours and their distance in Å.
Positions (direct):
Sc  0.0000  0.0000  0.0000  4 F 1.99
Zn  0.5000  0.5000  0.5000  4 N 2.81, 8 F 2.98
N  0.0000  0.0000  0.5000  2 Sc 2.23
F  0.0000  0.5000  0.0000  2 Sc 1.99
F  0.5000  0.0000  0.0000  2 Sc 1.99

Computed properties:
As for the space group: P4/mmm, No. 123. As for the relative energy among the computed polymorphs: 0.000 eV/atom.

Entry from Alexandria: ScZnN2F after structural relaxation (PBE).

Cell: 3.8190 3.8190 3.9250 Å, 90.00 90.00 90.00°
Last column: nearest neighbours and their distance in Å.
Positions (direct):
Sc  0.5000  0.5000  0.5000  4 F 2.70, 8 N 2.74
Zn  0.0000  0.0000  0.0000  4 N 1.91, 2 F 1.96
N  0.0000  0.5000  0.0000  2 Zn 1.91
N  0.5000  0.0000  0.0000  2 Zn 1.91
F  0.0000  0.0000  0.5000  2 Zn 1.96

Computed properties:
As for the space group: P4/mmm, No. 123. As for the relative energy among the computed polymorphs: 0.000 eV/atom.

Entry from Alexandria: ScZnN2F after structural relaxation (PBE).

Cell: 4.2042 4.2042 3.9748 Å, 90.00 90.00 90.00°
Last column: nearest neighbours and their distance in Å.
Positions (direct):
Sc  0.0000  0.0000  0.0000  2 F 1.99, 4 N 2.10
Zn  0.5000  0.5000  0.5000  8 N 2.89, 4 F 2.97
N  0.0000  0.5000  0.0000  2 Sc 2.10
N  0.5000  0.0000  0.0000  2 Sc 2.10
F  0.0000  0.0000  0.5000  2 Sc 1.99

Computed properties:
As for the space group: P4/mmm, No. 123. As for the relative energy among the computed polymorphs: 0.043 eV/atom.

Entry from Alexandria: ZrScNF2 after structural relaxation (PBE).

Cell: 3.9439 3.9439 4.4916 Å, 90.00 90.00 90.00°
Last column: nearest neighbours and their distance in Å.
Positions (direct):
Sc  0.0000  0.0000  0.0000  4 F 1.97
N  0.0000  0.0000  0.5000  2 Sc 2.25
Zr  0.5000  0.5000  0.5000  4 N 2.79, 8 F 2.99
F  0.0000  0.5000  0.0000  2 Sc 1.97
F  0.5000  0.0000  0.0000  2 Sc 1.97

Computed properties:
As for the space group: P4/mmm, No. 123. As for the relative energy among the computed polymorphs: 0.000 eV/atom.

Entry from Alexandria: ZrScNF2 after structural relaxation (PBE).

Cell: 4.2377 4.2377 4.2979 Å, 90.00 90.00 90.00°
Last column: nearest neighbours and their distance in Å.
Positions (direct):
Sc  0.5000  0.5000  0.5000  4 N 3.00, 8 F 3.02
N  0.0000  0.0000  0.5000  2 Zr 2.15
Zr  0.0000  0.0000  0.0000  4 F 2.12, 2 N 2.15
F  0.0000  0.5000  0.0000  2 Zr 2.12
F  0.5000  0.0000  0.0000  2 Zr 2.12

Computed properties:
As for the space group: P4/mmm, No. 123. As for the relative energy among the computed polymorphs: 0.070 eV/atom.